Computed, not measured: a relaxed structure of Ce6PuAg at the PBE-GGA level of DFT.

Calculated values
Crystal system: monoclinic
Total moment in μB per formula unit: 0.0
Space group: C2/c, No. 15
Calculated formation energy in eV/atom: -0.048

Unit cell a=6.9392 b=6.9392 c=11.7146 alpha=100.73 beta=100.73 gamma=51.02
Last column: nearest neighbours and their distance in Å.
Positions (direct):
1 Ce 0.0024 0.1553 0.3945  1 Pu 2.47
2 Ce 0.1469 0.2999 0.6825  1 Pu 2.46
3 Ce 0.1553 0.0024 0.8945  1 Pu 2.47
4 Ce 0.2865 0.4391 0.9669  1 Pu 2.49
5 Ce 0.2999 0.1469 0.1825  1 Pu 2.46
6 Ce 0.4391 0.2865 0.4669  1 Pu 2.49
7 Ce 0.5609 0.7135 0.5331  1 Pu 2.49
8 Ce 0.7001 0.8531 0.8175  1 Pu 2.46
9 Ce 0.7135 0.5609 0.0331  1 Pu 2.49
10 Ce 0.8447 0.9976 0.1055  1 Pu 2.47
11 Ce 0.8531 0.7001 0.3175  1 Pu 2.46
12 Ce 0.9976 0.8447 0.6055  1 Pu 2.47
13 Pu 0.0000 0.5000 0.5000  6 Ce 2.46-2.49
14 Pu 0.5000 0.0000 0.0000  6 Ce 2.46-2.49
15 Ag 0.4067 0.5933 0.2500  12 Ce 3.39-3.64
16 Ag 0.5933 0.4067 0.7500  12 Ce 3.39-3.64